3
Lattice="-1.140 6.521 -1.098 -2.985 5.662 0.824 2.205 1.412 0.990" Properties=species:S:1:pos:R:3 comment="ZnSiOs | the Alexandria database | PBE-GGA | optimized geometry" volume_a3_per_fu=44 mass_density_g_cm3=10.61 dos_at_fermi_per_ev_atom=0.623 total_energy_ev_per_cell=-16.98 raw_formation_energy_kj_per_mol_atoms=30.3 pbc="T T T"
Os -4.065 12.080 -0.263
Zn -2.012 8.587 0.148
Si 0.031 5.111 0.556